# Li2MnMoF8 (PBE+U, relaxed)
data_Li2MnMoF8
_chemical_formula_sum 'Li2 Mn1 Mo1 F8'
_space_group_name_H-M_alt 'P 1 2/m 1'
_space_group_IT_number 10
_cell_length_a 4.7252
_cell_length_b 6.5203
_cell_length_c 4.7285
_cell_angle_alpha 90.00
_cell_angle_beta 90.60
_cell_angle_gamma 90.00
loop_
_space_group_symop_operation_xyz
'x,y,z'
'-x,-y,-z'
'-x,y,-z'
'x,-y,z'
loop_
_atom_site_label
_atom_site_type_symbol
_atom_site_fract_x
_atom_site_fract_y
_atom_site_fract_z
Li1 Li 0.0000 0.2402 0.0000
Mn1 Mn 0.5000 0.5000 0.5000
Mo1 Mo 0.5000 0.0000 0.5000
F1 F 0.1914 0.0000 0.1893
F2 F 0.2212 0.5000 0.2192
F3 F 0.3044 0.2553 0.6934
# Magnetization = 7.00 μB/cell
# Electronic total energy = -5.44 eV per atom
# Density = 3.6 g/cm³